Compound: CrHgN2
Source: Alexandria via LeMat-Bulk
Functional: PBE
Structure: optimized geometry

Summary:
ΔE_f (raw) ... 0.13 eV/atom
Calculated total energy ... -6.516 eV/atom
Crystal system ... tetragonal

The structure in CIF format:
```
data_CrHgN2
_cell_length_a 5.709
_cell_length_b 5.709
_cell_length_c 8.065
_cell_angle_alpha 90.00
_cell_angle_beta 90.00
_cell_angle_gamma 90.00
_symmetry_space_group_name_H-M 'I 41/a m d'
_symmetry_Int_Tables_number 141
loop_
_symmetry_equiv_pos_as_xyz
'x,y,z'
'-x,-y,-z'
'-y+1/4,x+3/4,z+1/4'
'y+1/4,-x+3/4,-z+1/4'
'-x+1/2,-y,z+1/2'
'x+1/2,y,-z+1/2'
'y+1/4,-x+1/4,z+3/4'
'-y+1/4,x+1/4,-z+3/4'
'x,-y,-z'
'-x,y,z'
'-y+1/4,-x+1/4,-z+3/4'
'y+1/4,x+1/4,z+3/4'
'-x+1/2,y,-z+1/2'
'x+1/2,-y,z+1/2'
'y+1/4,x+3/4,-z+1/4'
'-y+1/4,-x+3/4,z+1/4'
'x+1/2,y+1/2,z+1/2'
'-x+1/2,-y+1/2,-z+1/2'
'-y+3/4,x+1/4,z+3/4'
'y+3/4,-x+1/4,-z+3/4'
'-x,-y+1/2,z'
'x,y+1/2,-z'
'y+3/4,-x+3/4,z+1/4'
'-y+3/4,x+3/4,-z+1/4'
'x+1/2,-y+1/2,-z+1/2'
'-x+1/2,y+1/2,z+1/2'
'-y+3/4,-x+3/4,-z+1/4'
'y+3/4,x+3/4,z+1/4'
'-x,y+1/2,-z'
'x,-y+1/2,z'
'y+3/4,x+1/4,-z+3/4'
'-y+3/4,-x+1/4,z+3/4'
loop_
_atom_site_label
_atom_site_type_symbol
_atom_site_fract_x
_atom_site_fract_y
_atom_site_fract_z
Cr1 Cr 0.000 0.250 0.375
Hg1 Hg 0.000 0.250 0.875
N1 N 0.000 0.000 0.500
```

***

Compound: KThTl2I8
Source: Alexandria via LeMat-Bulk
Functional: PBE
Structure: optimized geometry

Summary:
ΔE_f (raw) ... -0.93 eV/atom
Calculated total energy ... -3.071 eV/atom
Crystal system ... triclinic

The structure in CIF format:
```
data_KThTl2I8
_cell_length_a 6.875
_cell_length_b 8.866
_cell_length_c 10.370
_cell_angle_alpha 90.05
_cell_angle_beta 90.19
_cell_angle_gamma 93.66
_symmetry_space_group_name_H-M 'P -1'
_symmetry_Int_Tables_number 2
_symmetry_space_group_name_Hall '-P 1'
loop_
_atom_site_label
_atom_site_type_symbol
_atom_site_fract_x
_atom_site_fract_y
_atom_site_fract_z
K1 K 0.000 0.000 0.000
Th1 Th 0.000 0.000 0.500
Tl1 Tl 0.498 0.499 0.715
I1 I 0.205 0.703 0.499
I2 I 0.244 0.512 0.000
I3 I 0.263 0.134 0.282
I4 I 0.264 0.132 0.719
```

***

Among the records above, which one has the lowest calculated total energy? CrHgN2

***

Which of these has the lowest calculated total energy? CrHgN2

***

Which of these has the highest ΔE_f (raw)? CrHgN2